[1]
Here is a relaxed Sm7SI12 crystal from the Alexandria database. Energies are from PBE-GGA.

M_tot, Bohr magnetons per cell: 0.0
ΔE_f (raw), eV/atom: -1.395

```
data_Sm7SI12
_chemical_formula_sum 'Sm21 S3 I36'
_space_group_name_H-M_alt 'R -3'
_space_group_IT_number 148
_space_group_name_Hall '-R 3'
_cell_length_a 15.8501
_cell_length_b 15.8501
_cell_length_c 10.5011
_cell_angle_alpha 90.00
_cell_angle_beta 90.00
_cell_angle_gamma 120.00
loop_
_atom_site_label
_atom_site_type_symbol
_atom_site_fract_x
_atom_site_fract_y
_atom_site_fract_z
_atom_site_occupancy
Sm1 Sm 0.0000 0.0000 0.0000 1
Sm2 Sm 0.0433 0.8876 0.3525 1
S1 S 0.0000 0.0000 0.5000 1
I1 I 0.0232 0.4372 0.1639 1
I2 I 0.0518 0.8660 0.8371 1
```

[2]
Here is a relaxed LaNd7Ga4 crystal from the Alexandria database. Energies are from PBE-GGA.

M_tot, Bohr magnetons per cell: 0.8
Energy of formation, meV per atom: -208

```
data_LaNd7Ga4
_chemical_formula_sum 'La2 Nd14 Ga8'
_space_group_name_H-M_alt 'C 1 2/m 1'
_space_group_IT_number 12
_cell_length_a 13.933
_cell_length_b 5.692
_cell_length_c 10.608
_cell_angle_alpha 90.00
_cell_angle_beta 123.94
_cell_angle_gamma 90.00
loop_
_space_group_symop_operation_xyz
'x,y,z'
'-x,-y,-z'
'-x,y,-z'
'x,-y,z'
'x+1/2,y+1/2,z'
'-x+1/2,-y+1/2,-z'
'-x+1/2,y+1/2,-z'
'x+1/2,-y+1/2,z'
loop_
_atom_site_label
_atom_site_type_symbol
_atom_site_fract_x
_atom_site_fract_y
_atom_site_fract_z
_atom_site_occupancy
La1 La 0.000 0.000 0.000 1
Nd1 Nd 0.000 0.500 0.000 1
Nd2 Nd 0.065 0.000 0.388 1
Nd3 Nd 0.203 0.500 0.642 1
Nd4 Nd 0.205 0.000 0.880 1
Ga1 Ga 0.052 0.500 0.756 1
Ga2 Ga 0.180 0.500 0.330 1
```

[3]
Here is a relaxed BaDyZn2Au2 crystal from the Alexandria database. Energies are from PBE-GGA.

M_tot, Bohr magnetons per cell: 0.0
Energy of formation, meV per atom: -623

```
data_BaDyZn2Au2
_chemical_formula_sum 'Ba1 Dy1 Zn2 Au2'
_space_group_name_H-M_alt 'P -3 m 1'
_space_group_IT_number 164
_space_group_name_Hall '-P 3 2"'
_cell_length_a 4.6494
_cell_length_b 4.6494
_cell_length_c 7.9297
_cell_angle_alpha 90.00
_cell_angle_beta 90.00
_cell_angle_gamma 120.00
loop_
_atom_site_label
_atom_site_type_symbol
_atom_site_fract_x
_atom_site_fract_y
_atom_site_fract_z
_atom_site_occupancy
Ba1 Ba 0.0000 0.0000 0.0000 1
Dy1 Dy 0.0000 0.0000 0.5000 1
Zn1 Zn 0.3333 0.6667 0.6972 1
Au1 Au 0.3333 0.6667 0.3053 1
```

[4]
Here is a relaxed SrAc6La12 crystal from the Alexandria database. Energies are from PBE-GGA.

M_tot, Bohr magnetons per cell: 0.0
Energy of formation, meV per atom: 401

```
data_SrAc6La12
_chemical_formula_sum 'Sr3 Ac18 La36'
_space_group_name_H-M_alt 'R -3 m'
_space_group_IT_number 166
_space_group_name_Hall '-R 3 2"'
_cell_length_a 15.6664
_cell_length_b 15.6664
_cell_length_c 11.6948
_cell_angle_alpha 90.00
_cell_angle_beta 90.00
_cell_angle_gamma 120.00
loop_
_atom_site_label
_atom_site_type_symbol
_atom_site_fract_x
_atom_site_fract_y
_atom_site_fract_z
_atom_site_occupancy
Sr1 Sr 0.0000 0.0000 0.0000 1
Ac1 Ac 0.0726 0.5363 0.2352 1
La1 La 0.0000 0.3859 0.5000 1
La2 La 0.0867 0.1734 0.2616 1
```

[5]
Here is a relaxed UTaTiPt crystal from the Alexandria database. Energies are from PBE-GGA.

M_tot, Bohr magnetons per cell: 10.5
Energy of formation, meV per atom: -35

```
data_UTaTiPt
_chemical_formula_sum 'U4 Ta4 Ti4 Pt4'
_space_group_name_H-M_alt 'F -4 3 m'
_space_group_IT_number 216
_space_group_name_Hall 'F -4 2 3'
_cell_length_a 6.577
_cell_length_b 6.577
_cell_length_c 6.577
_cell_angle_alpha 90.00
_cell_angle_beta 90.00
_cell_angle_gamma 90.00
loop_
_atom_site_label
_atom_site_type_symbol
_atom_site_fract_x
_atom_site_fract_y
_atom_site_fract_z
_atom_site_occupancy
U1 U 0.000 0.000 0.000 1
Ta1 Ta 0.250 0.250 0.750 1
Ti1 Ti 0.250 0.250 0.250 1
Pt1 Pt 0.000 0.000 0.500 1
```

[6]
Here is a relaxed RbH2Pb crystal from the Alexandria database. Energies are from PBE-GGA.

M_tot, Bohr magnetons per cell: 0.0
Excess energy over the best structure of this formula in the dataset, meV per atom: 21

```
data_RbH2Pb
_chemical_formula_sum 'Rb2 H4 Pb2'
_space_group_name_H-M_alt 'P 1'
_space_group_IT_number 1
_cell_length_a 4.853
_cell_length_b 7.014
_cell_length_c 7.184
_cell_angle_alpha 101.40
_cell_angle_beta 109.64
_cell_angle_gamma 110.18
loop_
_space_group_symop_operation_xyz
'x,y,z'
loop_
_atom_site_label
_atom_site_type_symbol
_atom_site_fract_x
_atom_site_fract_y
_atom_site_fract_z
_atom_site_occupancy
Rb1 Rb 0.000 0.000 0.000 1
Rb2 Rb 0.033 0.432 0.632 1
H1 H 0.332 0.897 0.766 1
H2 H 0.415 0.744 0.081 1
H3 H 0.650 0.403 0.890 1
H4 H 0.755 0.497 0.997 1
Pb1 Pb 0.243 0.969 0.516 1
Pb2 Pb 0.490 0.654 0.321 1
```

[7]
Here is a relaxed La3DyHo6 crystal from the Alexandria database. Energies are from PBE-GGA.

M_tot, Bohr magnetons per cell: 0.1
Excess energy over the best structure of this formula in the dataset, meV per atom: 136
Energy of formation, meV per atom: 289

```
data_La3DyHo6
_chemical_formula_sum 'La9 Dy3 Ho18'
_space_group_name_H-M_alt 'R 3'
_space_group_IT_number 146
_space_group_name_Hall 'R 3'
_cell_length_a 9.9251
_cell_length_b 9.9251
_cell_length_c 11.6328
_cell_angle_alpha 90.00
_cell_angle_beta 90.00
_cell_angle_gamma 120.00
loop_
_atom_site_label
_atom_site_type_symbol
_atom_site_fract_x
_atom_site_fract_y
_atom_site_fract_z
_atom_site_occupancy
La1 La 0.0000 0.0000 0.0000 1
La2 La 0.0000 0.0000 0.2479 1
La3 La 0.0000 0.0000 0.4963 1
Dy1 Dy 0.0000 0.0000 0.7480 1
Ho1 Ho 0.0042 0.6763 0.4992 1
Ho2 Ho 0.0097 0.3389 0.6649 1
```

[8]
Here is a relaxed PmMgSiPt2 crystal from the Alexandria database. Energies are from PBE-GGA.

M_tot, Bohr magnetons per cell: 0.0
ΔE_f (raw), eV/atom: -0.957

```
data_PmMgSiPt2
_chemical_formula_sum 'Pm2 Mg2 Si2 Pt4'
_space_group_name_H-M_alt 'I m m 2'
_space_group_IT_number 44
_cell_length_a 3.758
_cell_length_b 4.308
_cell_length_c 11.902
_cell_angle_alpha 90.00
_cell_angle_beta 90.00
_cell_angle_gamma 90.00
loop_
_space_group_symop_operation_xyz
'x,y,z'
'-x,-y,z'
'-x,y,z'
'x,-y,z'
'x+1/2,y+1/2,z+1/2'
'-x+1/2,-y+1/2,z+1/2'
'-x+1/2,y+1/2,z+1/2'
'x+1/2,-y+1/2,z+1/2'
loop_
_atom_site_label
_atom_site_type_symbol
_atom_site_fract_x
_atom_site_fract_y
_atom_site_fract_z
_atom_site_occupancy
Pm1 Pm 0.000 0.000 0.000 1
Mg1 Mg 0.000 0.500 0.755 1
Si1 Si 0.000 0.000 0.616 1
Pt1 Pt 0.000 0.000 0.416 1
Pt2 Pt 0.000 0.500 0.241 1
```

[9]
Here is a relaxed ScMnNi5 crystal from the Alexandria database. Energies are from PBE-GGA.

M_tot, Bohr magnetons per cell: 20.3
Energy of formation, meV per atom: -248

```
data_ScMnNi5
_chemical_formula_sum 'Sc4 Mn4 Ni20'
_space_group_name_H-M_alt 'P n m a'
_space_group_IT_number 62
_cell_length_a 7.743
_cell_length_b 4.717
_cell_length_c 9.831
_cell_angle_alpha 90.00
_cell_angle_beta 90.00
_cell_angle_gamma 90.00
loop_
_space_group_symop_operation_xyz
'x,y,z'
'-x,-y,-z'
'-x+1/2,-y,z+1/2'
'x+1/2,y,-z+1/2'
'x+1/2,-y+1/2,-z+1/2'
'-x+1/2,y+1/2,z+1/2'
'-x,y+1/2,-z'
'x,-y+1/2,z'
loop_
_atom_site_label
_atom_site_type_symbol
_atom_site_fract_x
_atom_site_fract_y
_atom_site_fract_z
_atom_site_occupancy
Sc1 Sc 0.249 0.250 0.059 1
Mn1 Mn 0.139 0.750 0.856 1
Ni1 Ni 0.049 0.750 0.089 1
Ni2 Ni 0.065 0.006 0.308 1
Ni3 Ni 0.101 0.250 0.518 1
Ni4 Ni 0.189 0.250 0.751 1
```

[10]
Here is a relaxed CeY8Ho6 crystal from the Alexandria database. Energies are from PBE-GGA.

M_tot, Bohr magnetons per cell: 1.3
Energy of formation, meV per atom: 260

```
data_CeY8Ho6
_chemical_formula_sum 'Ce1 Y8 Ho6'
_space_group_name_H-M_alt 'P -3'
_space_group_IT_number 147
_cell_length_a 9.4002
_cell_length_b 9.4002
_cell_length_c 6.5789
_cell_angle_alpha 90.00
_cell_angle_beta 90.00
_cell_angle_gamma 120.00
loop_
_space_group_symop_operation_xyz
'x,y,z'
'-x,-y,-z'
'-y,x-y,z'
'y,-x+y,-z'
'-x+y,-x,z'
'x-y,x,-z'
loop_
_atom_site_label
_atom_site_type_symbol
_atom_site_fract_x
_atom_site_fract_y
_atom_site_fract_z
_atom_site_occupancy
Ce1 Ce 0.0000 0.0000 0.0000 1
Y1 Y 0.0281 0.6893 0.6005 1
Y2 Y 0.3333 0.6667 0.3160 1
Ho1 Ho 0.0857 0.4074 0.9068 1
```

[11]
Here is a relaxed ZrSc2Pd crystal from the Alexandria database. Energies are from PBE-GGA.

M_tot, Bohr magnetons per cell: 11.1
Excess energy over the best structure of this formula in the dataset, meV per atom: 258
Energy of formation, meV per atom: -193

```
data_ZrSc2Pd
_chemical_formula_sum 'Zr4 Sc8 Pd4'
_space_group_name_H-M_alt 'F m -3 m'
_space_group_IT_number 225
_space_group_name_Hall '-F 4 2 3'
_cell_length_a 6.887
_cell_length_b 6.887
_cell_length_c 6.887
_cell_angle_alpha 90.00
_cell_angle_beta 90.00
_cell_angle_gamma 90.00
loop_
_atom_site_label
_atom_site_type_symbol
_atom_site_fract_x
_atom_site_fract_y
_atom_site_fract_z
_atom_site_occupancy
Zr1 Zr 0.000 0.000 0.000 1
Sc1 Sc 0.250 0.250 0.250 1
Pd1 Pd 0.000 0.000 0.500 1
```

[12]
Here is a relaxed Tl2CrNi crystal from the Alexandria database. Energies are from PBE-GGA.

M_tot, Bohr magnetons per cell: 6.9
Excess energy over the best structure of this formula in the dataset, meV per atom: 114
Energy of formation, meV per atom: 535

```
data_Tl2CrNi
_chemical_formula_sum 'Tl4 Cr2 Ni2'
_space_group_name_H-M_alt 'C 1 2/m 1'
_space_group_IT_number 12
_cell_length_a 6.479
_cell_length_b 6.451
_cell_length_c 3.587
_cell_angle_alpha 90.00
_cell_angle_beta 90.13
_cell_angle_gamma 90.00
loop_
_space_group_symop_operation_xyz
'x,y,z'
'-x,-y,-z'
'-x,y,-z'
'x,-y,z'
'x+1/2,y+1/2,z'
'-x+1/2,-y+1/2,-z'
'-x+1/2,y+1/2,-z'
'x+1/2,-y+1/2,z'
loop_
_atom_site_label
_atom_site_type_symbol
_atom_site_fract_x
_atom_site_fract_y
_atom_site_fract_z
_atom_site_occupancy
Tl1 Tl 0.250 0.250 0.000 1
Cr1 Cr 0.000 0.000 0.500 1
Ni1 Ni 0.000 0.500 0.500 1
```